(1)
Dy9Al5Se21 | SCAN | PBEsol geometry

Cell: 11.7648 11.7648 11.7648 Å, 93.88 93.88 93.88°
Fractional positions:
Dy 0.8858 0.7377 0.1123
Dy 0.2290 0.0686 0.4519
Dy 0.5574 0.3937 0.7641
Dy 0.7641 0.5574 0.3937
Dy 0.1123 0.8858 0.7377
Dy 0.4519 0.2290 0.0686
Dy 0.0686 0.4519 0.2290
Dy 0.3937 0.7641 0.5574
Dy 0.7377 0.1123 0.8858
Dy 0.4300 0.5869 0.2121
Dy 0.7698 0.9323 0.5490
Dy 0.0946 0.2479 0.8774
Dy 0.5490 0.7698 0.9323
Dy 0.8774 0.0946 0.2479
Dy 0.2121 0.4300 0.5869
Dy 0.2479 0.8774 0.0946
Dy 0.5869 0.2121 0.4300
Dy 0.9323 0.5490 0.7698
Al 0.3863 0.0472 0.7187
Al 0.7187 0.3863 0.0472
Al 0.0472 0.7187 0.3863
Al 0.2226 0.5477 0.8817
Al 0.5477 0.8817 0.2226
Al 0.8817 0.2226 0.5477
Al 0.8591 0.8591 0.8591
Al 0.1749 0.1749 0.1749
Al 0.6760 0.6760 0.6760
Al 0.3578 0.3578 0.3578
Se 0.5107 0.1734 0.8421
Se 0.8421 0.5107 0.1734
Se 0.1734 0.8421 0.5107
Se 0.0100 0.3412 0.6745
Se 0.3412 0.6745 0.0100
Se 0.6745 0.0100 0.3412
Se 0.4521 0.0036 0.5355
Se 0.7883 0.3505 0.8647
Se 0.1106 0.6877 0.1992
Se 0.1992 0.1106 0.6877
Se 0.5355 0.4521 0.0036
Se 0.8647 0.7883 0.3505
Se 0.3505 0.8647 0.7883
Se 0.6877 0.1992 0.1106
Se 0.0036 0.5355 0.4521
Se 0.0558 0.4779 0.9653
Se 0.3771 0.8141 0.2995
Se 0.7109 0.1603 0.6316
Se 0.2995 0.3771 0.8141
Se 0.6316 0.7109 0.1603
Se 0.9653 0.0558 0.4779
Se 0.1603 0.6316 0.7109
Se 0.4779 0.9653 0.0558
Se 0.8141 0.2995 0.3771
Se 0.4142 0.3061 0.5588
Se 0.7631 0.6598 0.8957
Se 0.1008 0.9920 0.2391
Se 0.2391 0.1008 0.9920
Se 0.5588 0.4142 0.3061
Se 0.8957 0.7631 0.6598
Se 0.6598 0.8957 0.7631
Se 0.9920 0.2391 0.1008
Se 0.3061 0.5588 0.4142
Se 0.2821 0.3840 0.1484
Se 0.6179 0.7312 0.4843
Se 0.9422 0.0466 0.7937
Se 0.4843 0.6179 0.7312
Se 0.7937 0.9422 0.0466
Se 0.1484 0.2821 0.3840
Se 0.0466 0.7937 0.9422
Se 0.3840 0.1484 0.2821
Se 0.7312 0.4843 0.6179

Properties
The calculation puts the electronic total energy at -1899.3 eV/cell. As for the space group: No. 146. As for the calculated volume: 1617 Å³/cell. The uncorrected formation energy comes out at -1.688 eV per atom. The crystal system is trigonal.

---

(2)
BaCoOs2 | SCAN | PBEsol geometry

Cell: 2.8792 4.0535 6.7895 Å, 90.00 102.15 90.00°
Each line ends with the local moment (μB).
Fractional positions:
Co 0.1026 0.5000 0.8294  1.82
Os 0.1943 0.0000 0.0151  0.04
Os 0.7554 0.5000 0.1374  0.00
Ba 0.4476 0.0000 0.5180  -0.03

Properties
The calculation puts the electronic total energy at -197.6 eV/cell. For the energy relative to the lowest polymorph listed for this composition, the calculation gives 0.000 eV per atom. As for the space group: No. 6. As for the calculated volume: 77 Å³/cell. The crystal system is monoclinic. The calculation puts the energy of formation at 0.77 eV/atom.

---

(3)
BaPr2CoS5 | SCAN | PBEsol geometry

Cell: 7.7899 8.6229 7.7899 Å, 63.15 90.00 116.85°
Each line ends with the local moment (μB).
Fractional positions:
Ba 0.2500 0.5000 0.7500  0.01
Ba 0.7500 0.5000 0.2500  0.01
Pr 0.3384 0.0000 0.1616  0.03
Pr 0.1616 0.0000 0.6616  0.03
Pr 0.8384 0.0000 0.3384  0.03
Pr 0.6616 0.0000 0.8384  0.03
Co 0.7500 0.5000 0.7500  2.24
Co 0.2500 0.5000 0.2500  2.24
S 0.4912 0.2745 0.7168  0.07
S 0.2168 0.7255 0.9912  0.07
S 0.5088 0.7255 0.2832  0.07
S 0.0088 0.7255 0.4912  0.07
S 0.7168 0.7255 0.7832  0.07
S 0.9912 0.2745 0.5088  0.07
S 0.2832 0.2745 0.2168  0.07
S 0.7832 0.2745 0.0088  0.07
S 0.5000 0.0000 0.5000  0.02
S 0.0000 0.0000 0.0000  0.02

Properties
The calculation puts the electronic total energy at -418.8 eV/cell. As for the space group: No. 140. As for the calculated volume: 403 Å³/cell. The uncorrected formation energy comes out at -1.974 eV per atom. The crystal system is tetragonal.

---

(4)
Sr2SeF | SCAN | PBEsol geometry

Cell: 5.0514 5.0514 5.0514 Å, 60.00 60.00 60.00°
Fractional positions:
Sr 0.2500 0.2500 0.2500
Sr 0.7500 0.7500 0.7500
Se 0.5000 0.5000 0.5000
F 0.0000 0.0000 0.0000

Properties
The calculation puts the electronic total energy at -76.4 eV/cell. As for the space group: No. 225. As for the calculated volume: 91 Å³/cell. The uncorrected formation energy comes out at -2.059 eV per atom. The crystal system is cubic.

---

(5)
CuRh2W | SCAN | PBEsol geometry

Cell: 4.2636 4.2636 4.2636 Å, 60.00 60.00 60.00°
Fractional positions:
Cu 0.5000 0.5000 0.5000
Rh 0.0000 0.0000 0.0000
Rh 0.7500 0.7500 0.7500
W 0.2500 0.2500 0.2500

Properties
The calculation puts the electronic total energy at -151.3 eV/cell. For the energy relative to the lowest polymorph listed for this composition, the calculation gives 0.474 eV per atom. As for the space group: No. 216. As for the calculated volume: 55 Å³/cell. The crystal system is cubic. The calculation puts the energy of formation at 0.29 eV/atom.

---

(6)
HfSiN2 | SCAN | PBEsol geometry

Cell: 4.6395 4.6395 5.3959 Å, 115.46 115.46 90.00°
Fractional positions:
Si 0.7500 0.2500 0.5000
Si 0.5000 0.5000 0.0000
Hf 0.2500 0.7500 0.5000
Hf 0.0000 0.0000 0.0000
N 0.8031 0.3750 0.2500
N 0.4469 0.8750 0.2500
N 0.6250 0.5531 0.7500
N 0.1250 0.1969 0.7500

Properties
The calculation puts the electronic total energy at -190.0 eV/cell. As for the space group: No. 122. As for the calculated volume: 92 Å³/cell. The uncorrected formation energy comes out at -0.929 eV per atom. The crystal system is tetragonal.

---

(7)
KCrAg2Te | SCAN | PBEsol geometry

Cell: 5.0126 5.0126 5.5955 Å, 90.00 90.00 90.00°
Each line ends with the local moment (μB).
Fractional positions:
Cr 0.0000 0.0000 0.0000  4.28
K 0.0000 0.0000 0.5000  0.04
Te 0.5000 0.5000 0.5000  0.09
Ag 0.0000 0.5000 0.0000  0.13
Ag 0.5000 0.0000 0.0000  0.13

Properties
The calculation puts the electronic total energy at -123.6 eV/cell. As for the space group: No. 123. As for the calculated volume: 141 Å³/cell. The uncorrected formation energy comes out at 0.621 eV per atom. The crystal system is tetragonal.

---

(8)
TlCuTcSe2 | SCAN | PBEsol geometry

Cell: 4.6755 5.3411 5.3411 Å, 90.00 90.00 90.00°
Each line ends with the local moment (μB).
Fractional positions:
Tl 0.0000 0.0000 0.0000  0.00
Cu 0.5000 0.0000 0.0000  0.04
Tc 0.5000 0.5000 0.5000  4.32
Se 0.0000 0.0000 0.5000  0.06
Se 0.0000 0.5000 0.0000  0.06

Properties
The calculation puts the electronic total energy at -156.3 eV/cell. As for the space group: No. 123. As for the calculated volume: 133 Å³/cell. The uncorrected formation energy comes out at 1.294 eV per atom. The crystal system is tetragonal.

---

(9)
TbCo2B2 | SCAN | PBEsol geometry

Cell: 3.5118 3.5118 5.2678 Å, 109.47 109.47 90.00°
Fractional positions:
Tb 0.0000 0.0000 0.0000
B 0.3496 0.3496 0.6992
B 0.6504 0.6504 0.3008
Co 0.2500 0.7500 0.5000
Co 0.7500 0.2500 0.5000

Properties
The calculation puts the electronic total energy at -98.9 eV/cell. As for the space group: No. 139. As for the calculated volume: 57 Å³/cell. The crystal system is tetragonal. The calculation puts the energy of formation at -0.53 eV/atom.

---

(10)
MnZn2Cd | SCAN | PBEsol geometry

Cell: 2.7853 4.6395 5.0207 Å, 99.35 90.00 107.47°
Each line ends with the local moment (μB).
Fractional positions:
Cd 0.0000 0.0000 0.5000  -0.06
Mn 0.5000 0.0000 0.0000  3.72
Zn 0.7565 0.5130 0.7765  -0.04
Zn 0.2435 0.4870 0.2235  -0.04

Properties
The calculation puts the electronic total energy at -75.6 eV/cell. As for the space group: No. 12. As for the calculated volume: 61 Å³/cell. The crystal system is monoclinic. The calculation puts the energy of formation at 0.02 eV/atom.